Density functional theory data (PBE) for a relaxed structure of Pm2GaGe3Au4.

Cell lengths 4.380, 4.380, 10.863 Å; angles 90.00, 90.00, 90.00 degrees
Space group P-4m2 (No. 115)
Inequivalent atoms, fractional coordinates:
1 Pm 0.000 0.500 0.240
2 Ga 0.000 0.000 0.500
3 Ge 0.000 0.500 0.864
4 Ge 0.500 0.500 0.500
5 Au 0.000 0.000 0.000
6 Au 0.000 0.500 0.634
7 Au 0.500 0.500 0.000

Calculated values
The raw total energy is -45.20 eV per cell. For the density of states at the Fermi level, the calculation gives 0.42 states/eV/atom.

=====

Density functional theory data (PBE) for a relaxed structure of Hg2WSe.

Cell lengths 3.170, 5.207, 11.206 Å; angles 90.00, 90.00, 90.00 degrees
Space group Cmm2 (No. 35)
Inequivalent atoms, fractional coordinates:
1 Hg 0.000 0.000 0.000
2 Hg 0.000 0.500 0.269
3 W 0.000 0.500 0.775
4 Se 0.000 0.000 0.606

Calculated values
The raw total energy is -30.87 eV per cell. The calculation puts the uncorrected formation energy at 0.401 eV/atom. For the density of states at the Fermi level, the calculation gives 0.48 states/eV/atom.

=====

Density functional theory data (PBE) for a relaxed structure of TlVCoAu2.

Cell lengths 4.805, 4.805, 4.763 Å; angles 90.00, 90.00, 90.00 degrees
Space group P4/mmm (No. 123)
Inequivalent atoms, fractional coordinates:
1 Tl 0.000 0.000 0.000
2 V 0.500 0.500 0.000
3 Co 0.000 0.000 0.500
4 Au 0.000 0.500 0.500

Calculated values
The raw total energy is -19.53 eV per cell. For the density of states at the Fermi level, the calculation gives 1.95 states/eV/atom.

=====

Density functional theory data (PBE) for a relaxed structure of SrGa2NiBi.

Cell lengths 4.689, 4.689, 5.678 Å; angles 90.00, 90.00, 90.00 degrees
Space group P4/mmm (No. 123)
Inequivalent atoms, fractional coordinates:
1 Sr 0.000 0.000 0.000
2 Ga 0.000 0.500 0.500
3 Ni 0.500 0.500 0.500
4 Bi 0.500 0.500 0.000

Calculated values
The raw total energy is -18.81 eV per cell. For the density of states at the Fermi level, the calculation gives 0.50 states/eV/atom.

=====

Density functional theory data (PBE) for a relaxed structure of LiTaAs2.

Cell lengths 6.114, 6.114, 11.054 Å; angles 90.00, 90.00, 90.00 degrees
Space group I-42d (No. 122)
Inequivalent atoms, fractional coordinates:
1 Li 0.000 0.000 0.000
2 Ta 0.000 0.000 0.500
3 As 0.225 0.250 0.625

Calculated values
The raw total energy is -94.16 eV per cell. For the density of states at the Fermi level, the calculation gives 0.00 states/eV/atom.

=====

Density functional theory data (PBE) for a relaxed structure of CsHg4Sb2.

Cell lengths 9.254, 6.708, 8.432 Å; angles 90.00, 101.13, 90.00 degrees
Space group C2/m (No. 12)
Inequivalent atoms, fractional coordinates:
1 Cs 0.000 0.000 0.000
2 Hg 0.142 0.264 0.633
3 Sb 0.110 0.500 0.273

Calculated values
The raw total energy is -21.48 eV per cell. The calculation puts the uncorrected formation energy at -0.062 eV/atom. For the density of states at the Fermi level, the calculation gives 0.15 states/eV/atom.

=====

The highest raw total energy belongs to which entry? SrGa2NiBi

=====

Which value of raw total energy does entry 3 give? -19.53 eV per cell

=====

Copy entry 6 word for word.
Density functional theory data (PBE) for a relaxed structure of CsHg4Sb2.

Cell lengths 9.254, 6.708, 8.432 Å; angles 90.00, 101.13, 90.00 degrees
Space group C2/m (No. 12)
Inequivalent atoms, fractional coordinates:
1 Cs 0.000 0.000 0.000
2 Hg 0.142 0.264 0.633
3 Sb 0.110 0.500 0.273

Calculated values
The raw total energy is -21.48 eV per cell. The calculation puts the uncorrected formation energy at -0.062 eV/atom. For the density of states at the Fermi level, the calculation gives 0.15 states/eV/atom.

=====

Repeat the third record exactly.
Density functional theory data (PBE) for a relaxed structure of TlVCoAu2.

Cell lengths 4.805, 4.805, 4.763 Å; angles 90.00, 90.00, 90.00 degrees
Space group P4/mmm (No. 123)
Inequivalent atoms, fractional coordinates:
1 Tl 0.000 0.000 0.000
2 V 0.500 0.500 0.000
3 Co 0.000 0.000 0.500
4 Au 0.000 0.500 0.500

Calculated values
The raw total energy is -19.53 eV per cell. For the density of states at the Fermi level, the calculation gives 1.95 states/eV/atom.